First-principles (PBE) data for an optimized crystal structure of Y2Tm3Cu3, as listed in Alexandria.

a b c (Å): 3.5089 5.0422 20.8049
angles (deg): 90.00 90.00 90.00
Space group Immm (No. 71)
Unique sites:
Y1 0.0000 0.0000 0.2245 x4
Tm1 0.0000 0.0000 0.0000 x2
Tm2 0.0000 0.5000 0.1146 x4
Cu1 0.0000 0.0000 0.5000 x2
Cu2 0.0000 0.5000 0.3883 x4

Values from the calculation:
As for the crystal system: orthorhombic. The value obtained for the formation energy is -0.156 eV per atom. The total energy is -4.99 eV per atom.

***

First-principles (PBE) data for an optimized crystal structure of BaIrRh2, as listed in Alexandria.

a b c (Å): 3.0114 4.8925 5.2539
angles (deg): 90.00 90.00 90.00
Space group Pmmm (No. 47)
Unique sites:
Ba1 0.0000 0.0000 0.0000 x1
Ir1 0.5000 0.0000 0.5000 x1
Rh1 0.0000 0.5000 0.5000 x1
Rh2 0.5000 0.5000 0.0000 x1

Values from the calculation:
As for the offset from the most stable computed form: 0.734 eV per atom. As for the crystal system: orthorhombic. The value obtained for the formation energy is 0.712 eV per atom. The total energy is -5.66 eV per atom.

***

First-principles (PBE) data for an optimized crystal structure of BaNaI, as listed in Alexandria.

a b c (Å): 5.8967 5.8967 29.2061
angles (deg): 90.00 90.00 120.00
Space group R-3m (No. 166, hexagonal axes)
Unique sites:
Ba1 0.0000 0.0000 0.0838 x6
Na1 0.0000 0.0000 0.3317 x6
I1 0.0000 0.0000 0.2101 x6

Values from the calculation:
The calculation puts the formation energy without anion corrections at -0.823 eV per atom. As for the offset from the most stable computed form: 0.000 eV per atom. As for the crystal system: trigonal. The total energy is -2.42 eV per atom.

***

What is the formula in the second record?
BaIrRh2